A relaxed AlCo2Pt crystal, computed with PBE.

a = 8.3395 Å, b = 8.3395 Å, c = 8.3395 Å
α = 18.76°, β = 18.76°, γ = 18.76°
Fractional coordinates of all 4 atoms:
Al (0.0000, 0.0000, 0.0000)
Co (0.4885, 0.4885, 0.4885)
Co (0.7461, 0.7461, 0.7461)
Pt (0.2467, 0.2467, 0.2467)

Summary:
DFT formation energy ... -0.80 eV/f.u.
Total magnetization ... 3.01 μB/cell
V ... 52.41 Å³/f.u.
Crystal system ... trigonal
Space group ... No. 160